DFT (PBE) results for a relaxed LuNiGeMo crystal.

Computed properties:
Crystal system: cubic
Calculated volume, Å³ per cell: 68.5
Energy relative to the lowest polymorph listed for this composition, meV per atom: 326
Total energy, Ry/atom: -0.4423
Magnetization, μB per formula unit: 3.08

abc: 4.594 4.594 4.594
angles: 60.00 60.00 60.00
Fractional positions:
Ge (0.000, 0.000, 0.000)
Lu (0.250, 0.250, 0.250)
Mo (0.500, 0.500, 0.500)
Ni (0.750, 0.750, 0.750)